# PBE-GGA YBeIn2, optimized geometry
data_YBeIn2
_symmetry_space_group_name_H-M 'P 1 2/m 1'
_symmetry_Int_Tables_number 10
_cell_length_a 3.5417
_cell_length_b 4.4460
_cell_length_c 5.8173
_cell_angle_alpha 90.00
_cell_angle_beta 97.74
_cell_angle_gamma 90.00
loop_
_symmetry_equiv_pos_as_xyz
'x,y,z'
'-x,-y,-z'
'-x,y,-z'
'x,-y,z'
loop_
_atom_site_label
_atom_site_type_symbol
_atom_site_fract_x
_atom_site_fract_y
_atom_site_fract_z
Y1 Y 0.0000 0.0000 0.0000
Be1 Be 0.5000 0.0000 0.5000
In1 In 0.3904 0.5000 0.7301
# - Mass density: 5.99 Mg/m³
# - Total DFT energy (no corrections): -3.9185 eV per atom
# - Energy of formation: -0.002 eV/atom